## NbVCr2 (PBE)

Data for crystalline NbVCr2 at its relaxed geometry.

Summary:
* VASP energy: -8.85 eV per atom
* total magnetization: 0.000 μB per atom
* ΔH_f (0 K): 17.448 kcal/mol of atoms
* excess energy over the best structure of this formula in the dataset: 750.9 meV/atom

```
NbVCr2
1.0
3.5333 0.0000 0.0000
0.0000 3.5333 0.0000
1.7667 1.7667 9.5099
Cr Nb V
4 2 2
Direct
0.5872 0.1250 0.2500
0.1628 0.6250 0.2500
0.3750 0.4128 0.7500
0.8750 0.8372 0.7500
0.0000 0.0000 0.0000
0.7500 0.2500 0.5000
0.5000 0.5000 0.0000
0.2500 0.7500 0.5000
```

=====

## CuPbSe2 (PBE)

Data for crystalline CuPbSe2 at its relaxed geometry.

Summary:
* VASP energy: -3.76 eV per atom
* total magnetization: 0.000 μB per atom

```
CuPbSe2
1.0
-2.4490 7.0379 -0.9385
-6.4306 3.8188 -0.6891
4.4151 -5.0682 3.3513
Cu Pb Se
1 1 2
Direct
0.4649 0.4649 0.0000
0.7032 0.2032 0.5000
0.0182 0.0182 0.0000
0.3137 0.8137 0.5000
```

=====

## K2Mn (PBE)

Data for crystalline K2Mn at its relaxed geometry.

Summary:
* VASP energy: -3.08 eV per atom
* total magnetization: 1.414 μB per atom
* ΔH_f (0 K): 16.412 kcal/mol of atoms
* excess energy over the best structure of this formula in the dataset: 47.5 meV/atom

```
K2Mn
1.0
-1.6188 -4.8302 -5.2591
4.3375 -0.2482 5.8936
-6.4968 0.2492 3.3674
K Mn
4 2
Direct
0.3372 0.1628 0.5000
0.6628 0.8372 0.5000
0.1628 0.6628 0.8257
0.8372 0.3372 0.1743
0.2500 0.2500 0.0000
0.7500 0.7500 0.0000
```

=====

## LaSmSc2 (PBE)

Data for crystalline LaSmSc2 at its relaxed geometry.

Summary:
* VASP energy: -5.52 eV per atom
* total magnetization: 0.000 μB per atom
* ΔH_f (0 K): 1.297 kcal/mol of atoms
* excess energy over the best structure of this formula in the dataset: 3.1 meV/atom

```
LaSmSc2
1.0
-2.6926 0.0952 -2.4492
2.2891 -1.2031 -2.5633
-2.1515 -8.4351 2.0376
Sc Sm La
2 1 1
Direct
0.0000 0.0000 0.7544
0.0000 0.0000 0.2456
0.5000 0.5000 0.0000
0.5000 0.5000 0.5000
```

=====

## Pb12BrCl7O8 (PBE)

Data for crystalline Pb12BrCl7O8 at its relaxed geometry.

Summary:
* VASP energy: -4.71 eV per atom
* total magnetization: 0.000 μB per atom

```
Pb12BrCl7O8
1.0
5.9611 0.0000 0.0000
0.0000 10.0227 0.0060
0.0000 0.0281 12.0551
Pb Br Cl O
12 1 7 8
Direct
0.5000 0.2896 0.9395
0.5000 0.2108 0.4452
0.0000 0.7123 0.0571
0.0000 0.7905 0.5555
0.5000 0.8648 0.2141
0.5000 0.6453 0.7122
0.0000 0.1413 0.7863
0.0000 0.3566 0.2885
0.5000 0.9260 0.9169
0.5000 0.5742 0.4166
0.0000 0.0758 0.0824
0.0000 0.4276 0.5841
0.5000 0.5751 0.1255
0.5000 0.1814 0.1982
0.5000 0.3107 0.6950
0.0000 0.8116 0.8042
0.0000 0.6919 0.3054
0.5000 0.9097 0.6274
0.0000 0.4073 0.8708
0.0000 0.0917 0.3741
0.2457 0.8884 0.0774
0.7550 0.6148 0.5765
0.7455 0.1130 0.9224
0.2549 0.3867 0.4242
0.2545 0.1130 0.9224
0.7451 0.3867 0.4242
0.7543 0.8884 0.0774
0.2450 0.6148 0.5765
```

=====

## ZrBeZn2 (PBE)

Data for crystalline ZrBeZn2 at its relaxed geometry.

Summary:
* VASP energy: -3.69 eV per atom
* total magnetization: 0.000 μB per atom
* ΔH_f (0 K): 0.355 kcal/mol of atoms

```
ZrBeZn2
1.0
-3.0347 2.8248 1.3358
-3.2024 2.3619 -1.7717
-4.2037 -2.7970 0.6435
Be Zn Zr
1 2 1
Direct
0.2500 0.2500 0.2500
0.9753 0.9753 0.0703
0.5247 0.5247 0.4297
0.7500 0.7500 0.7500
```

=====

## ScFe2Au2 (PBE)

Data for crystalline ScFe2Au2 at its relaxed geometry.

Summary:
* VASP energy: -6.07 eV per atom
* total magnetization: 1.096 μB per atom
* ΔH_f (0 K): -2.441 kcal/mol of atoms
* excess energy over the best structure of this formula in the dataset: 0.0 meV/atom

```
ScFe2Au2
1.0
3.5192 0.0000 0.0000
0.0000 3.5192 0.0000
1.7596 1.7596 6.9478
Sc Au Fe
1 2 2
Direct
0.0000 0.0000 0.0000
0.3981 0.3981 0.2038
0.6019 0.6019 0.7962
0.7500 0.2500 0.5000
0.2500 0.7500 0.5000
```

=====

## Sr2PmIrO8 (PBE)

Data for crystalline Sr2PmIrO8 at its relaxed geometry.

Summary:
* VASP energy: -6.49 eV per atom
* total magnetization: 0.174 μB per atom

```
Sr2PmIrO8
1.0
-2.2541 3.5646 1.5693
-2.8105 -0.1016 -4.7061
-4.8295 -4.3651 2.9784
Sr Pm Ir O
2 1 1 8
Direct
0.5000 0.5000 0.7577
0.5000 0.5000 0.2423
0.0000 0.0000 0.5000
0.0000 0.0000 0.0000
0.0459 0.7654 0.2000
0.5838 0.8940 0.0000
0.9541 0.2346 0.2000
0.9541 0.2346 0.8000
0.4162 0.1060 0.0000
0.0459 0.7654 0.8000
0.5276 0.7749 0.5000
0.4724 0.2251 0.5000
```